Entry 1:
Material: VNiIrN2
Method: DFT, GGA-PBE
State: relaxed

a = 3.698 Å, b = 5.366 Å, c = 3.698 Å
α = 90.00°, β = 90.00°, γ = 90.00°
Fractional positions:
Ni 0.500 0.500 0.500
N 0.000 0.000 0.500
N 0.500 0.000 0.000
Ir 0.000 0.000 0.000
V 0.000 0.500 0.000

Output
uncorrected formation energy	1.3442	eV per atom

***

Entry 2:
Material: NiIrW2N
Method: DFT, GGA-PBE
State: relaxed

a = 4.069 Å, b = 4.069 Å, c = 3.903 Å
α = 90.00°, β = 90.00°, γ = 90.00°
Fractional positions:
Ni 0.000 0.000 0.500
Ir 0.500 0.500 0.500
W 0.000 0.500 0.000
W 0.500 0.000 0.000
N 0.000 0.000 0.000

Output
uncorrected formation energy	-0.0350	eV per atom

***

Entry 3:
Material: ZnNi2IrN
Method: DFT, GGA-PBE
State: relaxed

a = 3.816 Å, b = 3.816 Å, c = 4.012 Å
α = 90.00°, β = 90.00°, γ = 90.00°
Fractional positions:
Ni 0.000 0.500 0.000
Ni 0.500 0.000 0.000
Zn 0.500 0.500 0.500
Ir 0.000 0.000 0.500
N 0.000 0.000 0.000

Output
uncorrected formation energy	0.0369	eV per atom

***

Which of these has the lowest uncorrected formation energy?
NiIrW2N

***

Among the records above, which one has the lowest uncorrected formation energy?
NiIrW2N

***

The lowest uncorrected formation energy belongs to which entry?
NiIrW2N

***

Among the records above, which one has the highest uncorrected formation energy?
VNiIrN2